This record from the Alexandria database describes a relaxed V3CoSn2P6O24 crystal. The functional is PBEsol.

Computed properties:
Spin magnetization (μB per formula unit): 6.4
E_form (uncorrected) (kcal/mol of atoms): -47.4

a b c (Å): 8.3617 8.3617 22.6363
angles (deg): 90.00 90.00 120.00
Space group R3 (No. 146, hexagonal axes)
Asymmetric unit:
V: 0.0000 0.0000 0.0000 [3 per cell]
V: 0.0000 0.0000 0.2083 [3 per cell]
V: 0.0000 0.0000 0.5051 [3 per cell]
Co: 0.0000 0.0000 0.6996 [3 per cell]
Sn: 0.0000 0.0000 0.3641 [3 per cell]
Sn: 0.0000 0.0000 0.8350 [3 per cell]
P: 0.0047 0.7212 0.1040 [9 per cell]
P: 0.0474 0.3781 0.2718 [9 per cell]
O: 0.0058 0.8174 0.1614 [9 per cell]
O: 0.0286 0.2026 0.5479 [9 per cell]
O: 0.0522 0.8432 0.0491 [9 per cell]
O: 0.0621 0.8527 0.7649 [9 per cell]
O: 0.1594 0.4795 0.9251 [9 per cell]
O: 0.1586 0.6682 0.1097 [9 per cell]
O: 0.1791 0.4365 0.3240 [9 per cell]
O: 0.1838 0.4620 0.6175 [9 per cell]